Density functional theory data (PBE) for a relaxed structure of Li3GeRu.

symmetry	Pm-3m, No. 221

a = 4.540 Å, b = 4.540 Å, c = 4.540 Å
α = 90.00°, β = 90.00°, γ = 90.00°
Positions (direct):
Li  0.500  0.000  0.000
Li  0.000  0.000  0.500
Ru  0.000  0.000  0.000
Ge  0.500  0.500  0.500
Li  0.000  0.500  0.000

Density functional theory data (PBE) for a relaxed structure of LiGe2Ru.

symmetry	P4/mmm, No. 123

a = 3.031 Å, b = 3.031 Å, c = 7.003 Å
α = 90.00°, β = 90.00°, γ = 90.00°
Positions (direct):
Li  0.500  0.500  0.000
Ge  0.000  0.000  0.283
Ge  0.000  0.000  0.717
Ru  0.500  0.500  0.500

Number 1: V 93.60 Å³ per cell, raw total energy -3.092 eV per atom, energy of formation from the pure elements 0.835 eV/atom. Number 2: V 64.34 Å³ per cell, raw total energy -5.338 eV per atom, energy of formation from the pure elements -0.232 eV/atom.